Version one
The following is a GGA-PBE calculation of a relaxed structure of BaPNF2, from the Alexandria database. Values from VASP.

Cell and atoms, written as Quantum ESPRESSO input:
```
&SYSTEM
  ibrav = 0, nat = 5, ntyp = 4
/
ATOMIC_SPECIES
P 30.97 P.upf
F 19.00 F.upf
Ba 137.33 Ba.upf
N 14.01 N.upf
CELL_PARAMETERS angstrom
-0.8046 3.7205 2.7090
-4.5883 -0.8627 -0.1780
0.2744 -2.0603 2.9111
ATOMIC_POSITIONS angstrom
P 0.0000 0.0000 0.0000
F -0.4023 1.8602 1.3545
F -2.2941 -0.4313 -0.0890
Ba -2.5592 0.3988 2.7210
N 0.1372 -1.0302 1.4555
```

## Properties
Symmetry: P4/mmm, No. 123



Version two
The following is a GGA-PBE calculation of a relaxed structure of BaPNF2, from the Alexandria database. Values from VASP.

Cell and atoms, written as Quantum ESPRESSO input:
```
&SYSTEM
  ibrav = 0, nat = 5, ntyp = 4
/
ATOMIC_SPECIES
N 14.01 N.upf
P 30.97 P.upf
F 19.00 F.upf
Ba 137.33 Ba.upf
CELL_PARAMETERS angstrom
-0.1104 0.7510 4.8729
-2.2012 -4.3689 0.6235
5.5189 -2.7033 0.5417
ATOMIC_POSITIONS angstrom
N 2.7594 -1.3517 0.2708
P 1.6036 -3.1606 3.0191
F -1.1006 -2.1845 0.3118
F -0.0552 0.3755 2.4365
Ba 0.0000 0.0000 0.0000
```

## Properties
Symmetry: P4/mmm, No. 123



How do the energies compare? Relative to the most stable structure, in meV/atom: version one 0; version two 1202.



Version one
The following is a GGA-PBE calculation of a relaxed structure of BaPdNF2, from the Alexandria database. Values from VASP.

Cell and atoms, written as Quantum ESPRESSO input:
```
&SYSTEM
  ibrav = 0, nat = 5, ntyp = 4
/
ATOMIC_SPECIES
F 19.00 F.upf
Ba 137.33 Ba.upf
Pd 106.42 Pd.upf
N 14.01 N.upf
CELL_PARAMETERS angstrom
-3.8101 -1.4995 2.7604
2.9580 -0.2514 3.9462
-1.2351 5.4860 1.2753
ATOMIC_POSITIONS angstrom
F 1.4790 -0.1257 1.9731
F -1.9051 -0.7498 1.3802
Ba 0.0000 0.0000 0.0000
Pd -1.0437 1.8675 3.9910
N -0.6176 2.7430 0.6376
```

## Properties
Symmetry: P4/mmm, No. 123



Version two
The following is a GGA-PBE calculation of a relaxed structure of BaPdNF2, from the Alexandria database. Values from VASP.

Cell and atoms, written as Quantum ESPRESSO input:
```
&SYSTEM
  ibrav = 0, nat = 5, ntyp = 4
/
ATOMIC_SPECIES
F 19.00 F.upf
N 14.01 N.upf
Ba 137.33 Ba.upf
Pd 106.42 Pd.upf
CELL_PARAMETERS angstrom
-3.5083 1.7569 -2.5408
-3.0390 -2.6527 2.3619
-0.4524 2.7959 2.5581
ATOMIC_POSITIONS angstrom
F -1.7541 0.8785 -1.2704
F -1.5195 -1.3263 1.1809
N -0.2262 1.3980 1.2790
Ba -3.4998 0.9501 1.1896
Pd 0.0000 0.0000 0.0000
```

## Properties
Symmetry: P4/mmm, No. 123



Version three
The following is a GGA-PBE calculation of a relaxed structure of BaPdNF2, from the Alexandria database. Values from VASP.

Cell and atoms, written as Quantum ESPRESSO input:
```
&SYSTEM
  ibrav = 0, nat = 5, ntyp = 4
/
ATOMIC_SPECIES
F 19.00 F.upf
Ba 137.33 Ba.upf
N 14.01 N.upf
Pd 106.42 Pd.upf
CELL_PARAMETERS angstrom
4.9401 0.0000 0.0000
0.0000 6.4813 0.0000
0.0000 0.0000 4.9401
ATOMIC_POSITIONS angstrom
F 0.0000 0.0000 2.4700
F 2.4700 0.0000 0.0000
Ba 0.0000 0.0000 0.0000
N 2.4700 3.2406 2.4700
Pd 0.0000 3.2406 0.0000
```

## Properties
Symmetry: P4/mmm, No. 123



How do the energies compare? Relative to the most stable structure, in meV/atom: version one 886; version two 0; version three 980.



Version one
The following is a GGA-PBE calculation of a relaxed structure of BaPdN2F, from the Alexandria database. Values from VASP.

Cell and atoms, written as Quantum ESPRESSO input:
```
&SYSTEM
  ibrav = 0, nat = 5, ntyp = 4
/
ATOMIC_SPECIES
F 19.00 F.upf
Pd 106.42 Pd.upf
N 14.01 N.upf
Ba 137.33 Ba.upf
CELL_PARAMETERS angstrom
-1.0665 -3.4046 -1.6202
2.0938 0.8655 -3.1969
4.2905 -2.3752 2.1670
ATOMIC_POSITIONS angstrom
F 2.1453 -1.1876 1.0835
Pd 0.0000 0.0000 0.0000
N -0.5332 -1.7023 -0.8101
N 1.0469 0.4327 -1.5985
Ba 2.6589 -2.4572 -1.3250
```

## Properties
Symmetry: P4/mmm, No. 123



Version two
The following is a GGA-PBE calculation of a relaxed structure of BaPdN2F, from the Alexandria database. Values from VASP.

Cell and atoms, written as Quantum ESPRESSO input:
```
&SYSTEM
  ibrav = 0, nat = 5, ntyp = 4
/
ATOMIC_SPECIES
N 14.01 N.upf
F 19.00 F.upf
Ba 137.33 Ba.upf
Pd 106.42 Pd.upf
CELL_PARAMETERS angstrom
-4.5294 -1.4534 -0.8938
0.7705 -4.0045 2.6072
-1.5152 2.2867 3.9601
ATOMIC_POSITIONS angstrom
N 0.3853 -2.0023 1.3036
N -2.2647 -0.7267 -0.4469
F -0.7576 1.1434 1.9801
Ba 0.0000 0.0000 0.0000
Pd -2.6371 -1.5856 2.8368
```

## Properties
Symmetry: P4/mmm, No. 123



How do the energies compare? Relative to the most stable structure, in meV/atom: version one 0; version two 1569.